Entry 1:
VASP calculation (PBE) on a relaxed structure of B5C7.

abc: 6.169 6.169 5.295
angles: 101.53 101.53 23.79
Atoms (fractional coordinates):
1 C 0.013 0.013 0.003
2 B 0.330 0.330 0.121
3 C 0.666 0.666 0.837
4 B 0.233 0.233 0.411
5 B 0.931 0.931 0.216
6 C 0.588 0.588 0.039
7 C 0.323 0.323 0.674
8 C 0.666 0.666 0.313
9 B 0.588 0.588 0.545
10 B 0.921 0.921 0.716
11 C 0.001 0.001 0.508
12 C 0.240 0.240 0.867

Output
Total energy: -7.77 eV/atom
Polymorph energy (0 for the lowest one): 130 meV/atom
Space group: Cm, No. 8

=====

Entry 2:
VASP calculation (PBE) on a relaxed structure of CaInCo2.

abc: 4.415 4.415 5.670
angles: 66.89 66.89 59.98
Atoms (fractional coordinates):
1 In 0.750 0.750 0.750
2 Co 0.430 0.430 0.711
3 Ca 0.250 0.250 0.250
4 Co 0.070 0.070 0.789

Output
Total energy: -4.68 eV/atom
Space group: C2/m, No. 12

=====

Entry 3:
VASP calculation (PBE) on a relaxed structure of Rb2PbSeS.

abc: 4.482 9.449 9.885
angles: 102.75 90.00 90.00
Atoms (fractional coordinates):
1 Rb 0.750 0.861 0.105
2 Pb 0.750 0.483 0.137
3 Pb 0.250 0.517 0.863
4 Se 0.250 0.627 0.306
5 S 0.250 0.786 0.842
6 Rb 0.250 0.296 0.408
7 Se 0.750 0.373 0.694
8 Rb 0.250 0.139 0.895
9 Rb 0.750 0.704 0.592
10 S 0.750 0.214 0.158

Output
Total energy: -3.54 eV/atom
Formation energy from raw total energies: -0.8856 eV per atom
Space group: P2_1/m, No. 11

=====

Entry 4:
VASP calculation (PBE) on a relaxed structure of LaZrAs.

abc: 4.012 11.776 6.335
angles: 90.00 90.00 90.00
Atoms (fractional coordinates):
1 Zr 0.000 0.500 0.000
2 La 0.500 0.306 0.750
3 As 0.000 0.899 0.250
4 La 0.500 0.694 0.250
5 Zr 0.500 0.000 0.000
6 As 0.500 0.601 0.750
7 Zr 0.500 0.000 0.500
8 La 0.000 0.806 0.750
9 Zr 0.000 0.500 0.500
10 As 0.000 0.101 0.750
11 As 0.500 0.399 0.250
12 La 0.000 0.194 0.250

Output
Total energy: -6.93 eV/atom
Polymorph energy (0 for the lowest one): 107 meV/atom
Space group: Cmcm, No. 63

=====

- What is the total energy in the fourth record?
  -6.93 eV/atom

=====

Please write out number 2 again, unchanged.
VASP calculation (PBE) on a relaxed structure of CaInCo2.

abc: 4.415 4.415 5.670
angles: 66.89 66.89 59.98
Atoms (fractional coordinates):
1 In 0.750 0.750 0.750
2 Co 0.430 0.430 0.711
3 Ca 0.250 0.250 0.250
4 Co 0.070 0.070 0.789

Output
Total energy: -4.68 eV/atom
Space group: C2/m, No. 12